Computed, not measured: a relaxed structure of NbHgRh at the PBE level of DFT.

Mass density   12.179 g/cm³
Formation energy   0.0034 eV per atom
Excess energy over the best structure of this formula in the dataset   73 meV per atom
Calculated total energy   -5.904 eV per atom
Total magnetic moment   0.0 μB/f.u.
Volume   18.02 Å³ per atom

a b c (Å): 8.0892 2.9680 9.9229
angles (deg): 90.00 114.84 90.00
Fractional positions:
1 Nb 0.8368 0.0000 0.4314
2 Nb 0.8368 0.5000 0.9314
3 Nb 0.6395 0.0000 0.0709
4 Nb 0.6395 0.5000 0.5709
5 Hg 0.4706 0.0000 0.7477
6 Hg 0.4706 0.5000 0.2477
7 Hg 0.2639 0.0000 0.4168
8 Hg 0.2639 0.5000 0.9168
9 Rh 0.1158 0.0000 0.0961
10 Rh 0.1158 0.5000 0.5961
11 Rh 0.9270 0.0000 0.7349
12 Rh 0.9270 0.5000 0.2349